## NbMoRh2 (PBE-GGA)

Data for a relaxed structure of NbMoRh2.

Lattice parameters (Å, degrees): 6.4248 6.4248 6.4248 33.32 33.32 33.32
Closest atoms and distances in Å follow each position.
Fractional positions:
Nb (0.0000, 0.0000, 0.0000)  6 Rh 2.60-2.74
Mo (0.1723, 0.1723, 0.1723)  6 Rh 2.55-2.56
Rh (0.4279, 0.4279, 0.4279)  3 Mo 2.55, 3 Nb 2.74, 1 Rh 2.84
Rh (0.5842, 0.5842, 0.5842)  3 Mo 2.56, 3 Nb 2.60, 1 Rh 2.84

Properties
- crystal system = trigonal
- ΔE to the lowest computed polymorph (meV per atom) = 656.1
- E_tot (eV per atom) = -8.554
- energy of formation from the pure elements (meV per atom) = 347